{
  "formula": "CuMo2Pt",
  "functional": "PBE",
  "state": "relaxed",
  "cell": [[7.112, 0.000, 0.000], [0.000, 7.112, 0.000], [3.556, 3.556, 2.556]],
  "species": ["Mo", "Pt", "Pt", "Mo", "Cu", "Mo", "Mo", "Cu"],
  "fractional_positions": [[0.627, 0.125, 0.250], [0.750, 0.250, 0.500], [0.000, 0.000, 0.000], [0.123, 0.625, 0.250], [0.250, 0.750, 0.500], [0.375, 0.373, 0.750], [0.875, 0.877, 0.750], [0.500, 0.500, 0.000]],
  "crystal_system": "tetragonal",
  "formation_enthalpy_0k_ev_per_atom": 0.54,
  "density_g_cm3": 11.57,
  "polymorph_energy_ev_per_atom": 0.5933,
  "dft_energy_ev_per_cell": -59.3
}